This record from Alexandria describes a geometry-optimized Dy3TlIr2 structure. The functional is PBE.

```
Dy3TlIr2
1.0
-0.645 -3.145 -1.115
3.311 -0.463 -0.612
1.458 -4.228 11.085
Ir Dy Tl
2 3 1
direct
0.500 0.500 0.150
0.500 0.500 0.850
0.000 0.000 0.000
0.000 0.000 0.288
0.000 0.000 0.712
0.500 0.500 0.500
```

Calculated values
The value obtained for the density of states at the Fermi level is 4.57 states/eV/cell. As for the volume: 138.05 Å³ per cell. The calculated formation energy is -65.4 kJ/mol of atoms.